4
Lattice="0.000 2.968 2.968 2.968 0.000 2.968 2.968 2.968 0.000" Properties=species:S:1:pos:R:3 comment="TaZnCuB | OQMD | PBE | optimized geometry" e_tot_ev_per_cell=-19.73 polymorph_energy_mev_per_atom=411.9 pbc="T T T"
B 0.000 0.000 0.000
Cu 4.452 4.452 4.452
Ta 2.968 2.968 2.968
Zn 1.484 1.484 1.484